Compound: K3Re
Source: Alexandria via LeMat-Bulk
Functional: PBE
Structure: relaxed

Values from the calculation:
DFT formation energy, kJ per mole of atoms: 132.0
SG: No. 65
M_tot, μB/cell: 0.00
Density of states at the Fermi level, states/eV per atom: 1.10

Cell: 3.0715 3.0715 13.8766 Å, 90.00 90.00 90.16°
Last column: nearest neighbours and their distance in Å.
Sites, in units of the cell vectors:
K 0.0000 0.0000 0.0000  4 K 3.07
K 0.5000 0.5000 0.3082  4 K 3.07, 4 Re 3.43-3.44
K 0.5000 0.5000 0.6918  4 K 3.07, 4 Re 3.43-3.44
Re 0.0000 0.0000 0.5000  4 Re 3.07, 8 K 3.43-3.44